[1]
The following is a PBE calculation of crystalline LaCu2N at its relaxed geometry, from Alexandria via LeMat-Bulk.

Cell lengths 4.601, 4.601, 7.281 Å; angles 71.58, 71.58, 90.00 degrees
Fractional coordinates of all 8 atoms:
Cu  0.375  0.125  0.250
Cu  0.875  0.625  0.750
Cu  0.375  0.625  0.750
Cu  0.375  0.625  0.250
N  0.500  0.500  0.000
N  0.250  0.750  0.500
La  0.750  0.250  0.500
La  0.000  0.000  0.000

For the uncorrected formation energy, the calculation gives 0.208 eV/atom. The density of states at the Fermi level comes out at 4.6 states/eV/f.u. The total moment comes out at 0.00 μB per cell.

[2]
The following is a PBE calculation of crystalline LiHo3U3Se8 at its relaxed geometry, from Alexandria via LeMat-Bulk.

Cell lengths 8.027, 8.026, 8.153 Å; angles 119.49, 90.00, 120.00 degrees
Each line ends with the local moment (μB).
Fractional coordinates of all 15 atoms:
U  0.500  0.500  0.500  2.54
U  0.000  0.500  0.500  2.54
U  0.500  0.000  0.500  2.54
Se  0.246  0.998  0.250  -0.04
Se  0.248  0.496  0.244  -0.03
Se  0.754  0.002  0.750  -0.04
Se  0.752  0.504  0.756  -0.03
Se  0.248  0.002  0.750  -0.04
Se  0.248  0.496  0.750  -0.04
Se  0.752  0.998  0.250  -0.04
Se  0.752  0.504  0.250  -0.04
Ho  0.000  0.000  0.000  -0.01
Ho  0.500  0.500  0.000  -0.01
Ho  0.000  0.500  0.000  -0.01
Li  0.000  0.000  0.500  0.00

For the uncorrected formation energy, the calculation gives -1.414 eV/atom. The density of states at the Fermi level comes out at 17.3 states/eV/f.u. The total moment comes out at 8.32 μB per cell.

[3]
The following is a PBE calculation of crystalline RbBa2Zn at its relaxed geometry, from Alexandria via LeMat-Bulk.

Cell lengths 4.802, 4.802, 13.388 Å; angles 79.67, 79.67, 60.00 degrees
Fractional coordinates of all 4 atoms:
Zn  0.500  0.500  0.500
Ba  0.118  0.118  0.646
Ba  0.882  0.882  0.354
Rb  0.000  0.000  0.000

The density of states at the Fermi level comes out at 4.9 states/eV/f.u. The total moment comes out at 0.35 μB per cell. As for the energy relative to the elements: 55 meV per atom.

[4]
The following is a PBE calculation of crystalline Tb4AgHg2Rh at its relaxed geometry, from Alexandria via LeMat-Bulk.

Cell lengths 5.162, 5.162, 8.882 Å; angles 73.11, 73.11, 60.00 degrees
Fractional coordinates of all 8 atoms:
Tb  0.617  0.617  0.148
Tb  0.383  0.383  0.852
Tb  0.130  0.130  0.609
Tb  0.870  0.870  0.391
Rh  0.500  0.500  0.500
Hg  0.743  0.743  0.771
Hg  0.257  0.257  0.229
Ag  0.000  0.000  0.000

The density of states at the Fermi level comes out at 4.7 states/eV/f.u. The total moment comes out at 0.00 μB per cell. As for the energy relative to the elements: -519 meV per atom.

[5]
The following is a PBE calculation of crystalline LiSc2Ru at its relaxed geometry, from Alexandria via LeMat-Bulk.

Cell lengths 4.599, 4.599, 4.599 Å; angles 60.00, 60.00, 60.00 degrees
Fractional coordinates of all 4 atoms:
Sc  0.250  0.250  0.250
Sc  0.000  0.000  0.000
Li  0.500  0.500  0.500
Ru  0.750  0.750  0.750

The density of states at the Fermi level comes out at 5.3 states/eV/f.u. The total moment comes out at 0.00 μB per cell. As for the energy relative to the elements: 7 meV per atom.

[6]
The following is a PBE calculation of crystalline NbGaS2Cl at its relaxed geometry, from Alexandria via LeMat-Bulk.

Cell lengths 4.848, 4.848, 4.953 Å; angles 90.00, 90.00, 90.00 degrees
Fractional coordinates of all 5 atoms:
S  0.000  0.500  0.000
S  0.500  0.000  0.000
Cl  0.000  0.000  0.500
Ga  0.500  0.500  0.500
Nb  0.000  0.000  0.000

For the uncorrected formation energy, the calculation gives -0.560 eV/atom. The density of states at the Fermi level comes out at 2.6 states/eV/f.u. The total moment comes out at 0.00 μB per cell.

[7]
The following is a PBE calculation of crystalline La12DyY7 at its relaxed geometry, from Alexandria via LeMat-Bulk.

Cell lengths 6.380, 11.569, 11.569 Å; angles 116.70, 100.59, 100.59 degrees
Fractional coordinates of all 20 atoms:
La  0.426  0.000  0.356
La  0.930  0.356  0.356
La  0.070  0.644  0.644
La  0.574  0.644  0.000
La  0.908  0.408  0.816
La  0.092  0.592  0.184
La  0.092  0.184  0.592
La  0.908  0.816  0.408
La  0.500  0.592  0.408
La  0.574  0.000  0.644
La  0.426  0.356  0.000
La  0.500  0.408  0.592
Y  0.365  0.247  0.248
Y  0.117  0.752  0.000
Y  0.635  0.753  0.752
Y  0.117  0.000  0.753
Y  0.500  0.000  0.000
Y  0.883  0.248  0.000
Y  0.883  0.000  0.247
Dy  0.000  0.000  0.000

The density of states at the Fermi level comes out at 28.1 states/eV/f.u. The total moment comes out at 0.00 μB per cell. As for the energy relative to the elements: 203 meV per atom.

[8]
The following is a PBE calculation of crystalline PmErTlSn at its relaxed geometry, from Alexandria via LeMat-Bulk.

Cell lengths 5.398, 5.398, 5.398 Å; angles 60.00, 60.00, 60.00 degrees
Fractional coordinates of all 4 atoms:
Tl  0.250  0.250  0.250
Pm  0.500  0.500  0.500
Sn  0.750  0.750  0.750
Er  0.000  0.000  0.000

The density of states at the Fermi level comes out at 3.1 states/eV/f.u. The total moment comes out at 0.00 μB per cell. As for the energy relative to the elements: -457 meV per atom.

> Among the records above, which one has the highest total moment?

LiHo3U3Se8

Copy entry 7 word for word.
The following is a PBE calculation of crystalline La12DyY7 at its relaxed geometry, from Alexandria via LeMat-Bulk.

Cell lengths 6.380, 11.569, 11.569 Å; angles 116.70, 100.59, 100.59 degrees
Fractional coordinates of all 20 atoms:
La  0.426  0.000  0.356
La  0.930  0.356  0.356
La  0.070  0.644  0.644
La  0.574  0.644  0.000
La  0.908  0.408  0.816
La  0.092  0.592  0.184
La  0.092  0.184  0.592
La  0.908  0.816  0.408
La  0.500  0.592  0.408
La  0.574  0.000  0.644
La  0.426  0.356  0.000
La  0.500  0.408  0.592
Y  0.365  0.247  0.248
Y  0.117  0.752  0.000
Y  0.635  0.753  0.752
Y  0.117  0.000  0.753
Y  0.500  0.000  0.000
Y  0.883  0.248  0.000
Y  0.883  0.000  0.247
Dy  0.000  0.000  0.000

The density of states at the Fermi level comes out at 28.1 states/eV/f.u. The total moment comes out at 0.00 μB per cell. As for the energy relative to the elements: 203 meV per atom.

Copy entry 5 word for word.
The following is a PBE calculation of crystalline LiSc2Ru at its relaxed geometry, from Alexandria via LeMat-Bulk.

Cell lengths 4.599, 4.599, 4.599 Å; angles 60.00, 60.00, 60.00 degrees
Fractional coordinates of all 4 atoms:
Sc  0.250  0.250  0.250
Sc  0.000  0.000  0.000
Li  0.500  0.500  0.500
Ru  0.750  0.750  0.750

The density of states at the Fermi level comes out at 5.3 states/eV/f.u. The total moment comes out at 0.00 μB per cell. As for the energy relative to the elements: 7 meV per atom.